The following is a PBE-GGA calculation of a geometry-optimized HoBe4Os structure, from the Alexandria database.

Cell: 4.663 4.663 4.663 Å, 60.00 60.00 60.00°
Fractional positions:
Be  0.628  0.628  0.115
Be  0.628  0.115  0.628
Be  0.628  0.628  0.628
Be  0.115  0.628  0.628
Os  0.000  0.000  0.000
Ho  0.250  0.250  0.250

## Properties
V: 71.7 Å³/f.u.
E_form: -155.4 meV/atom
Total magnetization: 0.000 μB/atom
Theoretical density: 9.1 g cm⁻³

***

The following is a PBE-GGA calculation of a geometry-optimized TbPm3Er6Th2 structure, from the Alexandria database.

Cell: 6.178 6.178 11.715 Å, 95.05 95.05 119.98°
Fractional positions:
Tb  0.000  0.000  0.000
Pm  0.166  0.834  0.500
Pm  0.834  0.166  0.500
Pm  0.500  0.500  0.500
Er  0.918  0.581  0.754
Er  0.744  0.744  0.246
Er  0.082  0.419  0.246
Er  0.581  0.918  0.754
Er  0.256  0.256  0.754
Er  0.419  0.082  0.246
Th  0.333  0.667  0.000
Th  0.667  0.333  0.000

## Properties
V: 381.3 Å³/f.u.
E_form: 19.1 meV/atom
Total magnetization: 0.000 μB/atom
Theoretical density: 9.0 g cm⁻³

***

The following is a PBE-GGA calculation of a geometry-optimized Na2CaHfTe4 structure, from the Alexandria database.

Cell: 4.318 7.636 7.900 Å, 107.74 90.00 90.00°
Fractional positions:
Na  0.500  0.000  0.500
Na  0.000  0.500  0.500
Ca  0.500  0.500  0.000
Hf  0.000  0.000  0.000
Te  0.500  0.221  0.221
Te  0.500  0.779  0.779
Te  0.000  0.234  0.771
Te  0.000  0.766  0.229

## Properties
V: 248.1 Å³/f.u.
Formation energy (no corrections): -8.52 eV/f.u.
Total magnetization: 0.000 μB/atom
Theoretical density: 5.2 g cm⁻³

***

The following is a PBE-GGA calculation of a geometry-optimized SrLiTm2Se4 structure, from the Alexandria database.

Cell: 4.112 7.083 14.125 Å, 90.00 90.00 106.87°
Fractional positions:
Sr  0.120  0.239  0.750
Sr  0.880  0.761  0.250
Li  0.849  0.697  0.750
Li  0.151  0.303  0.250
Tm  0.373  0.745  0.558
Tm  0.627  0.255  0.058
Tm  0.627  0.255  0.442
Tm  0.373  0.745  0.942
Se  0.269  0.538  0.115
Se  0.731  0.462  0.615
Se  0.731  0.462  0.885
Se  0.269  0.538  0.385
Se  0.000  0.000  0.500
Se  0.000  0.000  0.000
Se  0.447  0.895  0.750
Se  0.553  0.105  0.250

## Properties
V: 196.9 Å³/f.u.
Formation energy (no corrections): -14.00 eV/f.u.
Total magnetization: 0.000 μB/atom
Theoretical density: 6.3 g cm⁻³

***

The following is a PBE-GGA calculation of a geometry-optimized Dy3Rh2Pb structure, from the Alexandria database.

Cell: 3.422 3.422 11.726 Å, 90.00 90.00 90.00°
Fractional positions:
Dy  0.000  0.000  0.000
Dy  0.000  0.000  0.707
Dy  0.000  0.000  0.293
Rh  0.500  0.500  0.849
Rh  0.500  0.500  0.151
Pb  0.500  0.500  0.500

## Properties
V: 137.3 Å³/f.u.
E_form: -741.4 meV/atom
Total magnetization: 0.000 μB/atom
Theoretical density: 10.9 g cm⁻³

***

The following is a PBE-GGA calculation of a geometry-optimized TiIn3Si structure, from the Alexandria database.

Cell: 5.307 5.307 5.307 Å, 90.00 90.00 90.00°
Last column: magnetic moment on the atom in μB.
Fractional positions:
Si  0.500  0.500  0.500  -0.13
Ti  0.000  0.000  0.000  0.95
In  0.000  0.500  0.000  0.09
In  0.000  0.000  0.500  0.07
In  0.500  0.000  0.000  0.05

## Properties
Energy relative to the lowest polymorph listed for this composition: 0.0 meV per atom
V: 149.5 Å³/f.u.
Formation energy (no corrections): 4.30 eV/f.u.
Total magnetization: 0.230 μB/atom
Theoretical density: 4.7 g cm⁻³

***

The following is a PBE-GGA calculation of a geometry-optimized Ir2OsRh5 structure, from the Alexandria database.

Cell: 3.844 3.844 8.185 Å, 103.58 103.58 90.00°
Fractional positions:
Ir  0.747  0.747  0.494
Ir  0.253  0.253  0.506
Os  0.000  0.000  0.000
Rh  0.500  0.500  0.000
Rh  0.376  0.876  0.753
Rh  0.876  0.376  0.753
Rh  0.624  0.124  0.247
Rh  0.124  0.624  0.247

## Properties
Energy relative to the lowest polymorph listed for this composition: 0.0 meV per atom
V: 114.1 Å³/f.u.
E_form: 32.5 meV/atom
Total magnetization: 0.000 μB/atom
Theoretical density: 15.9 g cm⁻³

***

The following is a PBE-GGA calculation of a geometry-optimized HfSc2SbAu structure, from the Alexandria database.

Cell: 5.123 5.138 5.123 Å, 90.00 90.00 90.00°
Fractional positions:
Sc  0.000  0.000  0.500
Sc  0.500  0.000  0.000
Hf  0.000  0.500  0.000
Au  0.000  0.000  0.000
Sb  0.500  0.500  0.500

## Properties
V: 134.9 Å³/f.u.
Formation energy (no corrections): -0.18 eV/f.u.
Total magnetization: 0.000 μB/atom
Theoretical density: 7.2 g cm⁻³

***

The following is a PBE-GGA calculation of a geometry-optimized Th6Hg3C2S structure, from the Alexandria database.

Cell: 6.718 6.718 8.188 Å, 97.80 97.80 119.82°
Fractional positions:
Th  0.938  0.582  0.809
Th  0.703  0.703  0.179
Th  0.062  0.418  0.191
Th  0.582  0.938  0.809
Th  0.297  0.297  0.821
Th  0.418  0.062  0.191
Hg  0.147  0.853  0.500
Hg  0.853  0.147  0.500
Hg  0.500  0.500  0.500
C  0.328  0.672  0.000
C  0.672  0.328  0.000
S  0.000  0.000  0.000

## Properties
V: 308.6 Å³/f.u.
Formation energy (no corrections): -6.09 eV/f.u.
Total magnetization: 0.000 μB/atom
Theoretical density: 11.0 g cm⁻³

***

The following is a PBE-GGA calculation of a geometry-optimized Ag5B2Se5 structure, from the Alexandria database.

Cell: 3.559 6.746 10.684 Å, 111.38 90.00 105.30°
Fractional positions:
Ag  0.500  0.000  0.500
Ag  0.686  0.372  0.080
Ag  0.810  0.619  0.372
Ag  0.190  0.381  0.628
Ag  0.314  0.628  0.920
B  0.006  0.011  0.795
B  0.994  0.989  0.205
Se  0.142  0.284  0.356
Se  0.605  0.209  0.791
Se  0.395  0.791  0.209
Se  0.858  0.716  0.644
Se  0.000  0.000  0.000

## Properties
V: 229.1 Å³/f.u.
Formation energy (no corrections): 2.53 eV/f.u.
Total magnetization: 0.000 μB/atom
Theoretical density: 6.9 g cm⁻³

***

The following is a PBE-GGA calculation of a geometry-optimized DyAlTc structure, from the Alexandria database.

Cell: 3.696 4.357 4.357 Å, 120.00 90.00 90.00°
Fractional positions:
Al  0.833  0.333  0.667
Tc  0.833  0.000  0.000
Dy  0.333  0.667  0.333

## Properties
Energy relative to the lowest polymorph listed for this composition: 265.0 meV per atom
V: 60.8 Å³/f.u.
E_form: -166.1 meV/atom
Total magnetization: 0.000 μB/atom
Theoretical density: 7.9 g cm⁻³

***

The following is a PBE-GGA calculation of a geometry-optimized Pa3CoRu2 structure, from the Alexandria database.

Cell: 5.732 7.391 6.677 Å, 104.09 115.42 90.00°
Fractional positions:
Pa  0.418  0.750  0.000
Pa  0.582  0.250  0.000
Pa  0.762  0.880  0.671
Pa  0.091  0.620  0.329
Pa  0.909  0.380  0.671
Pa  0.238  0.120  0.329
Co  0.095  0.250  0.000
Co  0.905  0.750  0.000
Ru  0.417  0.473  0.672
Ru  0.254  0.973  0.672
Ru  0.746  0.027  0.328
Ru  0.583  0.527  0.328

## Properties
V: 123.0 Å³/f.u.
E_form: -421.3 meV/atom
Total magnetization: 0.000 μB/atom
Theoretical density: 12.9 g cm⁻³

***

The following is a PBE-GGA calculation of a geometry-optimized BaZnH3 structure, from the Alexandria database.

Cell: 4.584 5.156 6.857 Å, 90.00 70.76 90.00°
Fractional positions:
Ba  0.131  0.250  0.727
Ba  0.869  0.750  0.273
Zn  0.463  0.250  0.171
Zn  0.537  0.750  0.829
H  0.325  0.006  0.345
H  0.675  0.994  0.655
H  0.675  0.506  0.655
H  0.325  0.494  0.345
H  0.857  0.250  0.141
H  0.143  0.750  0.859

## Properties
Energy relative to the lowest polymorph listed for this composition: 0.0 meV per atom
V: 76.5 Å³/f.u.
Total magnetization: 0.000 μB/atom
Theoretical density: 4.5 g cm⁻³

***

The following is a PBE-GGA calculation of a geometry-optimized Pm4Si5Ni2 structure, from the Alexandria database.

Cell: 4.257 6.770 7.950 Å, 87.05 90.00 90.00°
Fractional positions:
Pm  0.500  0.743  0.628
Pm  0.500  0.231  0.865
Pm  0.500  0.257  0.372
Pm  0.500  0.769  0.135
Si  0.000  0.595  0.366
Si  0.000  0.104  0.120
Si  0.000  0.500  0.000
Si  0.000  0.896  0.880
Si  0.000  0.405  0.634
Ni  0.000  0.072  0.629
Ni  0.000  0.928  0.371

## Properties
V: 228.8 Å³/f.u.
Formation energy (no corrections): -6.64 eV/f.u.
Total magnetization: 0.000 μB/atom
Theoretical density: 6.1 g cm⁻³

***

The following is a PBE-GGA calculation of a geometry-optimized TbEu2Sb structure, from the Alexandria database.

Cell: 5.121 4.875 4.875 Å, 90.00 90.00 90.00°
Last column: magnetic moment on the atom in μB.
Fractional positions:
Eu  0.000  0.000  0.500  7.01
Eu  0.000  0.500  0.000  7.01
Sb  0.500  0.000  0.000  -0.06
Tb  0.500  0.500  0.500  0.44

## Properties
V: 121.7 Å³/f.u.
Formation energy (no corrections): -1.95 eV/f.u.
Total magnetization: 3.830 μB/atom
Theoretical density: 8.0 g cm⁻³

***

The following is a PBE-GGA calculation of a geometry-optimized Hf6CdIn2 structure, from the Alexandria database.

Cell: 3.080 7.706 9.161 Å, 77.85 80.32 78.47°
Fractional positions:
Hf  0.769  0.359  0.102
Hf  0.231  0.641  0.898
Hf  0.385  0.667  0.564
Hf  0.053  0.647  0.246
Hf  0.947  0.353  0.754
Hf  0.615  0.333  0.436
Cd  0.000  0.000  0.000
In  0.340  0.011  0.309
In  0.660  0.989  0.691

## Properties
V: 206.5 Å³/f.u.
E_form: -7.1 meV/atom
Total magnetization: 0.000 μB/atom
Theoretical density: 11.4 g cm⁻³

***

The following is a PBE-GGA calculation of a geometry-optimized Ti2V2H7 structure, from the Alexandria database.

Cell: 4.452 3.945 4.452 Å, 90.00 94.03 90.00°
Fractional positions:
Ti  0.762  0.500  0.762
Ti  0.238  0.500  0.238
V  0.739  0.000  0.261
V  0.261  0.000  0.739
H  0.000  0.249  0.500
H  0.500  0.751  0.000
H  0.000  0.751  0.500
H  0.500  0.249  0.000
H  0.000  0.000  0.000
H  0.500  0.759  0.500
H  0.500  0.241  0.500

## Properties
V: 78.0 Å³/f.u.
E: -60.7 eV per cell
Total magnetization: 0.000 μB/atom
Theoretical density: 4.4 g cm⁻³

***

The following is a PBE-GGA calculation of a geometry-optimized AgCl2 structure, from the Alexandria database.

Cell: 6.446 6.446 6.446 Å, 90.00 90.00 90.00°
Fractional positions:
Ag  0.000  0.000  0.000
Ag  0.500  0.500  0.000
Ag  0.500  0.000  0.500
Ag  0.000  0.500  0.500
Cl  0.657  0.657  0.343
Cl  0.343  0.343  0.657
Cl  0.157  0.843  0.657
Cl  0.843  0.157  0.343
Cl  0.343  0.157  0.157
Cl  0.657  0.843  0.843
Cl  0.843  0.343  0.843
Cl  0.157  0.657  0.157

## Properties
V: 66.9 Å³/f.u.
Formation energy (no corrections): -0.74 eV/f.u.
Total magnetization: 0.000 μB/atom
Theoretical density: 4.4 g cm⁻³

***

The following is a PBE-GGA calculation of a geometry-optimized CeThPb structure, from the Alexandria database.

Cell: 5.579 5.579 6.633 Å, 90.00 90.00 120.00°
Last column: magnetic moment on the atom in μB.
Fractional positions:
Ce  0.334  0.166  0.750  0.18
Ce  0.666  0.834  0.250  0.18
Th  0.000  0.500  0.500  -0.01
Th  0.000  0.500  0.000  -0.01
Pb  0.333  0.167  0.250  0.00
Pb  0.667  0.833  0.750  0.00

## Properties
Energy relative to the lowest polymorph listed for this composition: 0.0 meV per atom
V: 89.4 Å³/f.u.
E_form: -270.2 meV/atom
Total magnetization: 0.059 μB/atom
Theoretical density: 10.8 g cm⁻³

***

The following is a PBE-GGA calculation of a geometry-optimized Nd8Te4PtS3 structure, from the Alexandria database.

Cell: 8.525 8.748 8.525 Å, 119.17 120.00 90.00°
Fractional positions:
Nd  0.238  0.716  0.978
Nd  0.238  0.716  0.477
Nd  0.264  0.291  0.527
Nd  0.739  0.716  0.978
Nd  0.261  0.284  0.022
Nd  0.736  0.709  0.473
Nd  0.762  0.284  0.523
Nd  0.762  0.284  0.022
Te  0.500  0.000  0.000
Te  0.500  0.000  0.500
Te  0.000  0.000  0.000
Te  0.000  0.000  0.500
Pt  0.000  0.500  0.000
S  0.500  0.500  0.000
S  0.500  0.500  0.500
S  0.000  0.500  0.500

## Properties
V: 455.1 Å³/f.u.
Formation energy (no corrections): -25.90 eV/f.u.
Total magnetization: 0.000 μB/atom
Theoretical density: 7.1 g cm⁻³